Entry 1:
First-principles (GGA-PBE) data for a geometry-optimized CePrTl2Se4 structure, as listed in the Alexandria database.

Output
Formation energy (no corrections) (eV per atom): -1.346
DOS(E_F) (states/eV/cell): 6.1

Lattice parameters (Å, degrees): 7.5427 4.3594 8.1318 90.00 108.01 90.00
Space group P2/m (No. 10)
Inequivalent atoms, fractional coordinates:
Ce  0.0000  0.0000  0.0000 x1
Pr  0.5000  0.5000  0.0000 x1
Tl  0.0000  0.5000  0.5000 x1
Tl  0.5000  0.0000  0.5000 x1
Se  0.2347  0.5000  0.2100 x2
Se  0.2612  0.0000  0.7887 x2



Entry 2:
First-principles (GGA-PBE) data for a geometry-optimized CePr3Tl4Se8 structure, as listed in the Alexandria database.

Output
Formation energy (no corrections) (eV per atom): -1.361
DOS(E_F) (states/eV/cell): 17.2

Lattice parameters (Å, degrees): 8.7198 8.7198 23.2210 90.00 90.00 120.00
Space group R-3m (No. 166, hexagonal axes)
Inequivalent atoms, fractional coordinates:
Ce  0.0000  0.0000  0.0000 x3
Pr  0.0000  0.5000  0.0000 x9
Tl  0.0000  0.0000  0.5000 x3
Tl  0.0000  0.5000  0.5000 x9
Se  0.0000  0.0000  0.2625 x6
Se  0.0016  0.5008  0.7371 x18



Entry 3:
First-principles (GGA-PBE) data for a geometry-optimized CePr2Tl3Se6 structure, as listed in the Alexandria database.

Output
Formation energy (no corrections) (eV per atom): -1.356
DOS(E_F) (states/eV/cell): 11.8

Lattice parameters (Å, degrees): 7.5499 13.0768 8.1377 90.00 108.02 90.00
Space group C2/m (No. 12)
Inequivalent atoms, fractional coordinates:
Ce  0.0000  0.0000  0.0000 x2
Pr  0.0000  0.3334  0.0000 x4
Tl  0.0000  0.1674  0.5000 x4
Tl  0.0000  0.5000  0.5000 x2
Se  0.2361  0.1657  0.2112 x8
Se  0.2392  0.5000  0.2115 x4



Entry 4:
First-principles (GGA-PBE) data for a geometry-optimized Ce2PrTm3Se6 structure, as listed in the Alexandria database.

Output
Formation energy (no corrections) (eV per atom): -1.762
DOS(E_F) (states/eV/cell): 27.7

Lattice parameters (Å, degrees): 7.0374 12.2046 7.3029 90.00 108.75 90.00
Space group C2/m (No. 12)
Inequivalent atoms, fractional coordinates:
Ce  0.0000  0.1667  0.0000 x4
Pr  0.0000  0.5000  0.0000 x2
Tm  0.0000  0.0000  0.5000 x2
Tm  0.0000  0.3369  0.5000 x4
Se  0.2415  0.1684  0.7298 x8
Se  0.2479  0.5000  0.7329 x4



Entry 5:
First-principles (GGA-PBE) data for a geometry-optimized Ce3PrTm2Se6 structure, as listed in the Alexandria database.

Output
Formation energy (no corrections) (eV per atom): -1.779
DOS(E_F) (states/eV/cell): 38.7

Lattice parameters (Å, degrees): 7.1623 12.4123 7.2474 90.00 109.27 90.00
Space group C2/m (No. 12)
Inequivalent atoms, fractional coordinates:
Ce  0.0000  0.0000  0.0000 x2
Ce  0.0000  0.3398  0.0000 x4
Pr  0.0000  0.5000  0.5000 x2
Tm  0.0000  0.1676  0.5000 x4
Se  0.2312  0.0000  0.7349 x4
Se  0.2460  0.1733  0.2583 x8



Entry 6:
First-principles (GGA-PBE) data for a geometry-optimized CePr2TmSe5 structure, as listed in the Alexandria database.

Output
Formation energy (no corrections) (eV per atom): -1.345
DOS(E_F) (states/eV/cell): 12.9

Lattice parameters (Å, degrees): 5.0490 5.0490 10.9470 90.00 90.00 90.00
Space group P4/mmm (No. 123)
Inequivalent atoms, fractional coordinates:
Ce  0.0000  0.0000  0.0000 x1
Pr  0.5000  0.5000  0.2962 x2
Tm  0.0000  0.0000  0.5000 x1
Se  0.0000  0.0000  0.2510 x2
Se  0.0000  0.5000  0.5000 x2
Se  0.5000  0.5000  0.0000 x1



Entry 7:
First-principles (GGA-PBE) data for a geometry-optimized Ce3Pr4TmSe8 structure, as listed in the Alexandria database.

Output
Formation energy (no corrections) (eV per atom): -1.817
DOS(E_F) (states/eV/cell): 65.0

Lattice parameters (Å, degrees): 8.4178 8.4178 20.6675 90.00 90.00 120.00
Space group R-3m (No. 166, hexagonal axes)
Inequivalent atoms, fractional coordinates:
Ce  0.0000  0.5000  0.0000 x9
Pr  0.0000  0.0000  0.5000 x3
Pr  0.0000  0.5000  0.5000 x9
Tm  0.0000  0.0000  0.0000 x3
Se  0.0000  0.0000  0.2517 x6
Se  0.0080  0.5040  0.7461 x18



Entry 8:
First-principles (GGA-PBE) data for a geometry-optimized CePr3Tm2Se6 structure, as listed in the Alexandria database.

Output
Formation energy (no corrections) (eV per atom): -1.787
DOS(E_F) (states/eV/cell): 20.5

Lattice parameters (Å, degrees): 7.1660 12.4490 7.3197 90.00 109.22 90.00
Space group C2/m (No. 12)
Inequivalent atoms, fractional coordinates:
Ce  0.0000  0.0000  0.0000 x2
Pr  0.0000  0.1627  0.5000 x4
Pr  0.0000  0.5000  0.5000 x2
Tm  0.0000  0.3327  0.0000 x4
Se  0.2332  0.5000  0.2298 x4
Se  0.2495  0.1715  0.2340 x8



Entry 9:
First-principles (GGA-PBE) data for a geometry-optimized CePr3Tm3Se8 structure, as listed in the Alexandria database.

Output
Formation energy (no corrections) (eV per atom): -1.810
DOS(E_F) (states/eV/cell): 36.9

Lattice parameters (Å, degrees): 8.2407 8.2407 20.4367 90.00 90.00 120.00
Space group R-3m (No. 166, hexagonal axes)
Inequivalent atoms, fractional coordinates:
Ce  0.0000  0.0000  0.0000 x3
Pr  0.0000  0.5000  0.5000 x9
Tm  0.0000  0.5000  0.0000 x9
Se  0.0000  0.0000  0.2570 x6
Se  0.0177  0.5089  0.2530 x18



Entry 10:
First-principles (GGA-PBE) data for a geometry-optimized Ce4PrTm3Se8 structure, as listed in the Alexandria database.

Output
Formation energy (no corrections) (eV per atom): -1.770
DOS(E_F) (states/eV/cell): 75.9

Lattice parameters (Å, degrees): 8.2406 8.2406 20.5463 90.00 90.00 120.00
Space group R-3m (No. 166, hexagonal axes)
Inequivalent atoms, fractional coordinates:
Ce  0.0000  0.0000  0.0000 x3
Ce  0.0000  0.5000  0.0000 x9
Pr  0.0000  0.0000  0.5000 x3
Tm  0.0000  0.5000  0.5000 x9
Se  0.0000  0.0000  0.2441 x6
Se  0.0104  0.5052  0.7535 x18



Entry 11:
First-principles (GGA-PBE) data for a geometry-optimized Ce2Pr3TmSe6 structure, as listed in the Alexandria database.

Output
Formation energy (no corrections) (eV per atom): -1.811
DOS(E_F) (states/eV/cell): 29.8

Lattice parameters (Å, degrees): 7.2595 12.5911 7.3118 90.00 109.43 90.00
Space group C2/m (No. 12)
Inequivalent atoms, fractional coordinates:
Ce  0.0000  0.1659  0.0000 x4
Pr  0.0000  0.0000  0.5000 x2
Pr  0.0000  0.3303  0.5000 x4
Tm  0.0000  0.5000  0.0000 x2
Se  0.2409  0.3378  0.2375 x8
Se  0.2432  0.5000  0.7587 x4



Entry 12:
First-principles (GGA-PBE) data for a geometry-optimized Ce2PrY3Se6 structure, as listed in the Alexandria database.

Output
Formation energy (no corrections) (eV per atom): -1.809
DOS(E_F) (states/eV/cell): 29.3

Lattice parameters (Å, degrees): 7.1438 12.3899 7.2830 90.00 109.10 90.00
Space group C2/m (No. 12)
Inequivalent atoms, fractional coordinates:
Ce  0.0000  0.1666  0.0000 x4
Pr  0.0000  0.5000  0.0000 x2
Y  0.0000  0.0000  0.5000 x2
Y  0.0000  0.3372  0.5000 x4
Se  0.2436  0.1686  0.7365 x8
Se  0.2495  0.0000  0.2603 x4



Entry 13:
First-principles (GGA-PBE) data for a geometry-optimized CePr4Y3Se8 structure, as listed in the Alexandria database.

Output
Formation energy (no corrections) (eV per atom): -1.816
DOS(E_F) (states/eV/cell): 37.8

Lattice parameters (Å, degrees): 8.3452 8.3452 20.7198 90.00 90.00 120.00
Space group R-3m (No. 166, hexagonal axes)
Inequivalent atoms, fractional coordinates:
Ce  0.0000  0.0000  0.0000 x3
Pr  0.0000  0.0000  0.5000 x3
Pr  0.0000  0.5000  0.5000 x9
Y  0.0000  0.5000  0.0000 x9
Se  0.0000  0.0000  0.2555 x6
Se  0.0040  0.5020  0.2545 x18



Entry 14:
First-principles (GGA-PBE) data for a geometry-optimized Ce3Pr3YSe8 structure, as listed in the Alexandria database.

Output
Formation energy (no corrections) (eV per atom): -1.864
DOS(E_F) (states/eV/cell): 64.2

Lattice parameters (Å, degrees): 8.4307 8.4307 20.7324 90.00 90.00 120.00
Space group R-3m (No. 166, hexagonal axes)
Inequivalent atoms, fractional coordinates:
Ce  0.0000  0.5000  0.0000 x9
Pr  0.0000  0.5000  0.5000 x9
Y  0.0000  0.0000  0.0000 x3
Se  0.0000  0.0000  0.2515 x6
Se  0.0040  0.5020  0.7475 x18



Entry 15:
First-principles (GGA-PBE) data for a geometry-optimized Ce3PrY2Se6 structure, as listed in the Alexandria database.

Output
Formation energy (no corrections) (eV per atom): -1.814
DOS(E_F) (states/eV/cell): 39.4

Lattice parameters (Å, degrees): 7.2111 12.4975 7.2696 90.00 109.35 90.00
Space group C2/m (No. 12)
Inequivalent atoms, fractional coordinates:
Ce  0.0000  0.0000  0.0000 x2
Ce  0.0000  0.3378  0.0000 x4
Pr  0.0000  0.5000  0.5000 x2
Y  0.0000  0.1673  0.5000 x4
Se  0.2373  0.0000  0.7409 x4
Se  0.2466  0.1713  0.2543 x8



Entry 16:
First-principles (GGA-PBE) data for a geometry-optimized Ce2PrYSe5 structure, as listed in the Alexandria database.

Output
Formation energy (no corrections) (eV per atom): -1.316
DOS(E_F) (states/eV/cell): 18.9

Lattice parameters (Å, degrees): 5.1283 5.1283 11.0552 90.00 90.00 90.00
Space group P4/mmm (No. 123)
Inequivalent atoms, fractional coordinates:
Ce  0.0000  0.0000  0.1873 x2
Pr  0.5000  0.5000  0.5000 x1
Y  0.5000  0.5000  0.0000 x1
Se  0.0000  0.0000  0.5000 x1
Se  0.0000  0.5000  0.0000 x2
Se  0.5000  0.5000  0.2499 x2



Entry 17:
First-principles (GGA-PBE) data for a geometry-optimized CePr2YSe4 structure, as listed in the Alexandria database.

Output
Formation energy (no corrections) (eV per atom): -1.824
DOS(E_F) (states/eV/cell): 8.8

Lattice parameters (Å, degrees): 7.3029 4.1732 7.3061 90.00 109.05 90.00
Space group P2/m (No. 10)
Inequivalent atoms, fractional coordinates:
Ce  0.0000  0.0000  0.0000 x1
Pr  0.0000  0.5000  0.5000 x1
Pr  0.5000  0.0000  0.5000 x1
Y  0.5000  0.5000  0.0000 x1
Se  0.2518  0.5000  0.2409 x2
Se  0.2589  0.0000  0.7629 x2



Entry 18:
First-principles (GGA-PBE) data for a geometry-optimized Ce4Pr3YSe8 structure, as listed in the Alexandria database.

Output
Formation energy (no corrections) (eV per atom): -1.827
DOS(E_F) (states/eV/cell): 79.5

Lattice parameters (Å, degrees): 8.4246 8.4246 20.6758 90.00 90.00 120.00
Space group R-3m (No. 166, hexagonal axes)
Inequivalent atoms, fractional coordinates:
Ce  0.0000  0.0000  0.0000 x3
Ce  0.0000  0.5000  0.0000 x9
Pr  0.0000  0.5000  0.5000 x9
Y  0.0000  0.0000  0.5000 x3
Se  0.0000  0.0000  0.2517 x6
Se  0.0075  0.5038  0.2498 x18



Entry 19:
First-principles (GGA-PBE) data for a geometry-optimized Ce2PrYSe4 structure, as listed in the Alexandria database.

Output
Formation energy (no corrections) (eV per atom): -1.816
DOS(E_F) (states/eV/cell): 13.2

Lattice parameters (Å, degrees): 7.2654 4.1671 7.2919 90.00 109.13 90.00
Space group P2/m (No. 10)
Inequivalent atoms, fractional coordinates:
Ce  0.0000  0.0000  0.0000 x1
Ce  0.5000  0.5000  0.0000 x1
Pr  0.0000  0.5000  0.5000 x1
Y  0.5000  0.0000  0.5000 x1
Se  0.2572  0.0000  0.7494 x2
Se  0.2594  0.5000  0.2561 x2



Entry 20:
First-principles (GGA-PBE) data for a geometry-optimized Ce3PrSi3 structure, as listed in the Alexandria database.

Output
Formation energy (no corrections) (eV per atom): -0.128
DOS(E_F) (states/eV/cell): 52.1

Lattice parameters (Å, degrees): 7.5051 7.5051 24.1058 90.00 90.00 120.00
Space group R-3 (No. 148, hexagonal axes)
Inequivalent atoms, fractional coordinates:
Ce  0.0027  0.6636  0.3025 x18
Pr  0.0000  0.0000  0.1663 x6
Si  0.0024  0.6636  0.4265 x18